(1)
Below is a geometry-optimized Yb2Mg structure, with properties calculated at the PBE-GGA level.

DOS(E_F) (states/eV per cell): 107.88
Formation energy (meV per atom): -104

Lattice parameters (Å, degrees): 12.0959 3.6558 9.2778 90.00 112.53 90.00
With the nearest neighbours (Å) after each atom.
Space group C2/m (No. 12)
Symmetry-distinct sites (fractional):
Yb  0.0089  0.0000  0.2104 x4  5 Mg 3.40-3.56, 7 Yb 3.66-3.77
Yb  0.1610  0.5000  0.5905 x4  2 Mg 3.39, 10 Yb 3.60-3.77
Mg  0.1911  0.5000  0.0842 x4  2 Mg 3.09, 6 Yb 3.39-3.41

***

(2)
Below is a geometry-optimized LaAl2Zn structure, with properties calculated at the PBE-GGA level.

DOS(E_F) (states/eV per cell): 3.40
Formation energy (meV per atom): -234

Lattice parameters (Å, degrees): 4.4451 4.4451 4.4886 90.00 90.00 90.00
With the nearest neighbours (Å) after each atom.
Space group P4/mmm (No. 123)
Symmetry-distinct sites (fractional):
La  0.0000  0.0000  0.0000 x1  4 Zn 3.14, 8 Al 3.16
Al  0.0000  0.5000  0.5000 x2  4 Al 3.14, 4 La 3.16, 4 Zn 3.16
Zn  0.5000  0.5000  0.0000 x1  4 La 3.14, 8 Al 3.16

***

no.,total magnetic moment (μB per formula unit)
1,0.32
2,0.00